No. 1
Density functional theory data (PBE) for a relaxed ScSi crystal.

Results
**Energy relative to the elements, uncorrected**: -0.358 eV per atom
**Calculated density**: 3.1 g/cm³
**Total magnetic moment**: 2.23 Bohr magnetons per cell

Lattice parameters (Å, degrees): 7.6028 7.6028 5.4166 90.00 90.00 90.00
Last column: nearest neighbours and their distance in Å.
Space group I4/m (No. 87)
Unique sites:
Sc  0.0600  0.3051  0.0000 (multiplicity 8)  5 Si 2.73-2.80
Si  0.0818  0.2117  0.5000 (multiplicity 8)  2 Si 2.44, 2 Sc 2.73


No. 2
Density functional theory data (PBE) for a relaxed ScSi crystal.

Results
**Energy relative to the elements, uncorrected**: -0.440 eV per atom
**Calculated density**: 3.1 g/cm³
**Total magnetic moment**: 0.00 Bohr magnetons per cell

Lattice parameters (Å, degrees): 3.4662 3.4662 11.2914 90.00 90.00 120.00
Last column: nearest neighbours and their distance in Å.
Space group R-3m (No. 166, hexagonal axes)
Unique sites:
Sc  0.0000  0.0000  0.0000 (multiplicity 3)  6 Si 2.75
Si  0.0000  0.0000  0.5000 (multiplicity 3)  6 Sc 2.75


No. 3
Density functional theory data (PBE) for a relaxed ScSi crystal.

Results
**Energy relative to the elements, uncorrected**: -0.277 eV per atom
**Calculated density**: 3.3 g/cm³
**Total magnetic moment**: 0.00 Bohr magnetons per cell

Lattice parameters (Å, degrees): 4.8893 8.7567 13.6319 90.00 90.00 90.00
Last column: nearest neighbours and their distance in Å.
Space group Fddd (No. 70, origin choice 2)
Unique sites:
Sc  0.1250  0.2841  0.1250 (multiplicity 16)  2 Si 2.70, 3 Sc 2.79-2.92
Si  0.1250  0.1250  0.5413 (multiplicity 16)  1 Si 2.28


No. 4
Density functional theory data (PBE) for a relaxed Sc2Si crystal.

Results
**Energy relative to the elements, uncorrected**: -0.413 eV per atom
**Calculated density**: 3.3 g/cm³
**Total magnetic moment**: 0.00 Bohr magnetons per cell

Lattice parameters (Å, degrees): 3.0744 3.0744 12.5568 90.00 90.00 90.00
Last column: nearest neighbours and their distance in Å.
Space group I4/mmm (No. 139)
Unique sites:
Sc  0.0000  0.0000  0.1449 (multiplicity 4)  4 Si 2.83, 4 Sc 3.07
Si  0.0000  0.0000  0.5000 (multiplicity 2)  8 Sc 2.83, 4 Si 3.07


No. 5
Density functional theory data (PBE) for a relaxed ScSi2 crystal.

Results
**Energy relative to the elements, uncorrected**: -0.104 eV per atom
**Calculated density**: 3.3 g/cm³
**Total magnetic moment**: 0.00 Bohr magnetons per cell

Lattice parameters (Å, degrees): 4.7144 4.7144 5.3486 90.00 90.00 120.00
Last column: nearest neighbours and their distance in Å.
Space group P6_3/mmc (No. 194)
Unique sites:
Sc  0.3333  0.6667  0.2500 (multiplicity 2)  5 Si 2.67-2.72
Si  0.0000  0.0000  0.0000 (multiplicity 2)  2 Si 2.67
Si  0.3333  0.6667  0.7500 (multiplicity 2)  5 Sc 2.67-2.72


No. 6
Density functional theory data (PBE) for a relaxed ScSi2 crystal.

Results
**Energy relative to the elements, uncorrected**: 0.020 eV per atom
**Calculated density**: 2.9 g/cm³
**Total magnetic moment**: 0.00 Bohr magnetons per cell

Lattice parameters (Å, degrees): 3.3384 6.9558 5.0658 90.00 90.00 90.00
Last column: nearest neighbours and their distance in Å.
Space group Pnnm (No. 58)
Unique sites:
Sc  0.0000  0.0000  0.0000 (multiplicity 2)  6 Si 2.75-2.80
Si  0.2493  0.1236  0.5000 (multiplicity 4)  2 Si 2.39-2.40


No. 7
Density functional theory data (PBE) for a relaxed ScSi2 crystal.

Results
**Energy relative to the elements, uncorrected**: 0.092 eV per atom
**Calculated density**: 3.0 g/cm³
**Total magnetic moment**: 0.00 Bohr magnetons per cell

Lattice parameters (Å, degrees): 7.1411 7.1411 3.7442 90.00 90.00 120.00
Last column: nearest neighbours and their distance in Å.
Space group P-62m (No. 189)
Unique sites:
Sc  0.0000  0.0000  0.0000 (multiplicity 1)  9 Si 2.63-2.68
Sc  0.3333  0.6667  0.5000 (multiplicity 2)  9 Si 2.68-2.92
Si  0.0000  0.2594  0.5000 (multiplicity 3)  4 Sc 2.63-2.68
Si  0.0000  0.6243  0.0000 (multiplicity 3)  5 Sc 2.68-2.92


No. 8
Density functional theory data (PBE) for a relaxed Sc5Si3 crystal.

Results
**Energy relative to the elements, uncorrected**: -0.708 eV per atom
**Energy above the lowest structure with this stoichiometry**: 60.0 meV per atom
**Calculated density**: 3.3 g/cm³
**Total magnetic moment**: 1.52 Bohr magnetons per cell

Lattice parameters (Å, degrees): 7.0682 7.0682 12.5060 90.00 90.00 90.00
Last column: nearest neighbours and their distance in Å.
Space group I4/mcm (No. 140)
Unique sites:
Sc  0.0000  0.0000  0.0000 (multiplicity 4)  4 Si 2.78
Sc  0.1680  0.3320  0.1458 (multiplicity 16)  5 Si 2.73-2.94
Si  0.0000  0.0000  0.2500 (multiplicity 4)  10 Sc 2.94-3.13
Si  0.1281  0.3719  0.5000 (multiplicity 8)  1 Si 2.56, 8 Sc 2.73-2.79


No. 9
Density functional theory data (PBE) for a relaxed Sc4Si crystal.

Results
**Energy relative to the elements, uncorrected**: 0.035 eV per atom
**Energy above the lowest structure with this stoichiometry**: 0.0 meV per atom
**Calculated density**: 2.7 g/cm³
**Total magnetic moment**: 0.86 Bohr magnetons per cell

Lattice parameters (Å, degrees): 5.0689 5.0689 5.0689 90.00 90.00 90.00
Last column: nearest neighbours and their distance in Å.
Space group Pm-3m (No. 221)
Unique sites:
Sc  0.0000  0.0000  0.0000 (multiplicity 1)  12 Sc 3.58
Sc  0.0000  0.5000  0.5000 (multiplicity 3)  2 Si 2.53
Si  0.5000  0.5000  0.5000 (multiplicity 1)  6 Sc 2.53


No. 10
Density functional theory data (PBE) for a relaxed ScSi2 crystal.

Results
**Energy relative to the elements, uncorrected**: -0.381 eV per atom
**Calculated density**: 3.4 g/cm³
**Total magnetic moment**: 0.00 Bohr magnetons per cell

Lattice parameters (Å, degrees): 9.5275 3.8795 5.5905 90.00 108.78 90.00
Last column: nearest neighbours and their distance in Å.
Space group C2/m (No. 12)
Unique sites:
Sc  0.1315  0.0000  0.3084 (multiplicity 4)  9 Si 2.63-2.92
Si  0.0000  0.5000  0.0000 (multiplicity 2)  4 Sc 2.63, 4 Si 2.78-2.80
Si  0.0000  0.5000  0.5000 (multiplicity 2)  4 Sc 2.71, 6 Si 2.80-2.92
Si  0.1916  0.0000  0.8434 (multiplicity 4)  5 Si 2.61-2.92, 5 Sc 2.84-2.92


No. 11
Density functional theory data (PBE) for a relaxed ScSi crystal.

Results
**Energy relative to the elements, uncorrected**: -0.837 eV per atom
**Calculated density**: 3.3 g/cm³
**Total magnetic moment**: 0.00 Bohr magnetons per cell

Lattice parameters (Å, degrees): 3.9833 9.8996 3.6741 90.00 90.00 90.00
Last column: nearest neighbours and their distance in Å.
Space group Cmcm (No. 63)
Unique sites:
Sc  0.0000  0.1390  0.2500 (multiplicity 4)  7 Si 2.77-2.95
Si  0.0000  0.4188  0.2500 (multiplicity 4)  2 Si 2.44


No. 12
Density functional theory data (PBE) for a relaxed ScSi2 crystal.

Results
**Energy relative to the elements, uncorrected**: 0.449 eV per atom
**Calculated density**: 2.5 g/cm³
**Total magnetic moment**: 0.00 Bohr magnetons per cell

Lattice parameters (Å, degrees): 6.4898 6.4898 6.4898 90.00 90.00 90.00
Last column: nearest neighbours and their distance in Å.
Space group Pa-3 (No. 205)
Unique sites:
Sc  0.0000  0.0000  0.0000 (multiplicity 4)  6 Si 2.75
Si  0.1009  0.6009  0.8991 (multiplicity 8)  1 Si 2.27


no.,V (Å³ per atom)
1,19.6
2,19.6
3,18.2
4,19.8
5,17.2
6,19.6
7,18.4
8,19.5
9,26.0
10,16.3
11,18.1
12,22.8